# AcCe3Tl3

A relaxed structure of AcCe3Tl3 (PBE, Alexandria via LeMat-Bulk).

```
AcCe3Tl3
1.0
5.1755 0.0000 0.0000
0.0000 9.8809 0.0000
0.0000 -4.9404 8.5571
Ce Tl Ac
6 6 2
direct
0.7500 0.2244 0.2209 Ce
0.7500 0.9966 0.7756 Ce
0.2500 0.2209 0.9966 Ce
0.7500 0.7791 0.0034 Ce
0.2500 0.7756 0.7791 Ce
0.2500 0.0034 0.2244 Ce
0.7500 0.6168 0.5536 Tl
0.2500 0.3832 0.4464 Tl
0.7500 0.9368 0.3832 Tl
0.2500 0.0632 0.6168 Tl
0.2500 0.5536 0.9368 Tl
0.7500 0.4464 0.0632 Tl
0.2500 0.6667 0.3333 Ac
0.7500 0.3333 0.6667 Ac
```

Properties
Electronic total energy   -4.29 eV/atom

=====

# SmTm2TeO8

A relaxed structure of SmTm2TeO8 (PBE, Alexandria via LeMat-Bulk).

```
SmTm2TeO8
1.0
4.9709 -0.0435 -0.0029
-0.0148 4.9732 -0.0055
0.0041 0.0076 6.9372
O Sm Te Tm
8 1 1 2
direct
0.1856 0.8143 0.7913 O
0.6798 0.6801 0.5000 O
0.3202 0.3199 0.5000 O
0.8144 0.1857 0.2087 O
0.1856 0.8143 0.2087 O
0.2801 0.2799 0.0000 O
0.7199 0.7201 0.0000 O
0.8144 0.1857 0.7913 O
0.0000 0.0000 0.5000 Sm
0.0000 0.0000 0.0000 Te
0.5000 0.5000 0.7592 Tm
0.5000 0.5000 0.2408 Tm
```

Properties
Electronic total energy   -7.23 eV/atom

=====

# GdYTe

A relaxed structure of GdYTe (PBE, Alexandria via LeMat-Bulk).

```
GdYTe
1.0
-2.8837 2.1527 -1.8304
-3.2500 -3.9909 0.4266
0.2551 3.5353 3.7560
Gd Te Y
1 1 1
direct
0.0755 0.0000 0.0000 Gd
0.3605 0.3333 0.6667 Te
0.5640 0.6667 0.3333 Y
```

Properties
Offset from the most stable computed form   275 meV/atom

=====

no.,M_tot (μB/cell)
1,7.35
2,0.80
3,7.14